Below is a relaxed K2UVO6 crystal, with properties calculated at the GGA+U level.

## Properties
Total energy, eV/atom: -7.52

Cell lengths 5.8114, 5.8111, 5.8113 Å; angles 60.10, 60.10, 90.17 degrees
Fractional positions:
1 O 0.2254 0.2253 0.0000
2 O 0.2528 0.7472 0.0000
3 V 0.0000 0.0000 0.0000
4 K 0.2499 0.7499 0.5002
5 K 0.7501 0.2501 0.4998
6 U 0.5000 0.5000 0.0000
7 O 0.2528 0.2528 0.4944
8 O 0.7472 0.7472 0.5056
9 O 0.7746 0.7747 0.0000
10 O 0.7472 0.2528 0.0000



Below is a relaxed K2U3VO12 crystal, with properties calculated at the GGA+U level.

## Properties
Total energy, eV/atom: -8.43

Cell lengths 7.5102, 7.5102, 7.5102 Å; angles 63.28, 63.28, 63.28 degrees
Fractional positions:
1 O 0.2965 0.9431 0.9431
2 K 0.3640 0.3640 0.3640
3 O 0.9410 0.3248 0.3248
4 O 0.0569 0.7035 0.0569
5 U 0.0000 0.0000 0.5000
6 K 0.6360 0.6360 0.6360
7 O 0.9431 0.2965 0.9431
8 O 0.0590 0.6752 0.6752
9 O 0.0569 0.0569 0.7035
10 U 0.5000 0.0000 0.0000
11 O 0.9431 0.9431 0.2965
12 O 0.3248 0.9410 0.3248
13 O 0.3248 0.3248 0.9410
14 O 0.6752 0.0590 0.6752
15 O 0.6752 0.6752 0.0590
16 U 0.0000 0.5000 0.0000
17 V 0.0000 0.0000 0.0000
18 O 0.7035 0.0569 0.0569



- Which of these has the lowest total energy?
  K2U3VO12



- Which of these has the highest total energy?
  K2UVO6



- Which value of total energy does entry 1 give?
  -7.52 eV/atom



- Look up the total energy of the first one.
  -7.52 eV/atom